1.
A relaxed structure of Ba2Li2MgIn5, computed with GGA-PBE.

As for the calculated formation energy: -0.31 eV per atom.

The structure belongs to space group P4/mbm (No. 127); the cell edges are 11.194, 11.194 and 4.424 Å and the angles 90.00°, 90.00° and 90.00°. The distinct sites, in fractional coordinates, are Ba at (0.186, 0.314, 0.000), Li at (0.111, 0.611, 0.000), Mg at (0.000, 0.000, 0.000), In at (0.000, 0.500, 0.500) and In at (0.049, 0.803, 0.500).

---

2.
A relaxed structure of BaLiMgIn, computed with GGA-PBE.

As for the calculated formation energy: -0.20 eV per atom.

The structure belongs to space group F-43m (No. 216); the cell edges are 7.640, 7.640 and 7.640 Å and the angles 90.00°, 90.00° and 90.00°. The distinct sites, in fractional coordinates, are Ba at (0.000, 0.000, 0.000), Li at (0.250, 0.250, 0.250), Mg at (0.250, 0.250, 0.750) and In at (0.000, 0.000, 0.500).

---

3.
A relaxed structure of BaLiMgIn, computed with GGA-PBE.

As for the calculated formation energy: -0.20 eV per atom.

The structure belongs to space group R3m (No. 160, hexagonal axes); the cell edges are 4.9613, 4.9613 and 18.5931 Å and the angles 90.00°, 90.00° and 120.00°. The distinct sites, in fractional coordinates, are Ba at (0.0000, 0.0000, 0.0000), Li at (0.0000, 0.0000, 0.4874), Mg at (0.0000, 0.0000, 0.1900) and In at (0.0000, 0.0000, 0.8012).

---

4.
A relaxed structure of Ba3Li2Mg2In4, computed with GGA-PBE.

As for the calculated formation energy: -0.17 eV per atom.

The structure belongs to space group P-3m1 (No. 164); the cell edges are 5.4779, 5.4779 and 13.9658 Å and the angles 90.00°, 90.00° and 120.00°. The distinct sites, in fractional coordinates, are Ba at (0.0000, 0.0000, 0.0000), Ba at (0.0000, 0.0000, 0.2856), Li at (0.3333, 0.6667, 0.1608), Mg at (0.3333, 0.6667, 0.5932), In at (0.3333, 0.6667, 0.3845) and In at (0.3333, 0.6667, 0.8375).